# 1
Compound: CsAlCoAu2
Source: the Alexandria database
Functional: GGA-PBE
Structure: optimized geometry

Lattice parameters (Å, degrees): 5.173 5.173 4.843 90.00 90.00 90.00
Sites, in units of the cell vectors:
Cs: 0.000 0.000 0.000
Al: 0.500 0.500 0.500
Co: 0.500 0.500 0.000
Au: 0.000 0.500 0.500
Au: 0.500 0.000 0.500

Uncorrected energy, eV per atom: -3.32
DFT formation energy, eV per atom: 0.334
Total moment, μB per atom: 0.382



# 2
Compound: AlCoCuAu
Source: the Alexandria database
Functional: GGA-PBE
Structure: optimized geometry

Lattice parameters (Å, degrees): 4.262 4.262 4.262 60.00 60.00 60.00
Sites, in units of the cell vectors:
Al: 0.000 0.000 0.000
Co: 0.250 0.250 0.250
Cu: 0.500 0.500 0.500
Au: 0.750 0.750 0.750

Uncorrected energy, eV per atom: -4.70
DFT formation energy, eV per atom: -0.141
Total moment, μB per atom: 0.294